# 1
## La2PrYTm2 (PBE-GGA)

Data for an optimized crystal structure of La2PrYTm2.

a = 5.6572 Å, b = 10.3469 Å, c = 6.9539 Å
α = 90.00°, β = 90.00°, γ = 90.00°
Closest atoms and distances in Å follow each position.
Sites, in units of the cell vectors:
La: 0.0000 0.0249 0.0000  5 Tm 3.48-3.75, 4 La 3.51-3.84, 2 Pr 3.59-3.86
La: 0.0000 0.9751 0.5000  5 Tm 3.48-3.75, 4 La 3.51-3.84, 2 Pr 3.59-3.86
La: 0.5000 0.2007 0.2651  5 Tm 3.44-3.60, 2 Y 3.51-3.80, 2 La 3.84
La: 0.5000 0.7993 0.7651  5 Tm 3.44-3.60, 2 Y 3.51-3.80, 2 La 3.84
Pr: 0.0000 0.3090 0.6408  5 Tm 3.29-3.59, 1 La 3.59
Pr: 0.0000 0.6910 0.1408  5 Tm 3.29-3.59, 1 La 3.59
Y: 0.5000 0.4725 0.8986  5 Tm 3.47-3.69, 2 La 3.51-3.80, 2 Y 3.52, 2 Pr 3.75
Y: 0.5000 0.5275 0.3986  5 Tm 3.47-3.69, 2 La 3.51-3.80, 2 Y 3.52, 2 Pr 3.75
Tm: 0.0000 0.3734 0.1478  3 Pr 3.29-3.59, 2 La 3.44, 2 Y 3.47
Tm: 0.0000 0.6266 0.6478  3 Pr 3.29-3.59, 2 La 3.44, 2 Y 3.47
Tm: 0.5000 0.1323 0.7568  7 La 3.45-3.72, 2 Pr 3.46, 1 Y 3.66
Tm: 0.5000 0.8677 0.2568  7 La 3.45-3.72, 2 Pr 3.46, 1 Y 3.66

- calculated density (Mg/m³) = 6.90
- D(E_F) (states/eV per atom) = 1.45
- energy of formation from the pure elements (eV/atom) = 0.066
- M_tot (Bohr magnetons per cell) = 0.0

***

# 2
## Nb3NCl (PBE-GGA)

Data for an optimized crystal structure of Nb3NCl.

a = 4.3117 Å, b = 4.3117 Å, c = 4.3117 Å
α = 90.00°, β = 90.00°, γ = 90.00°
Closest atoms and distances in Å follow each position.
Sites, in units of the cell vectors:
Nb: 0.0000 0.0000 0.5000  2 N 2.16
Nb: 0.0000 0.5000 0.0000  2 N 2.16
Nb: 0.5000 0.0000 0.0000  2 N 2.16
N: 0.0000 0.0000 0.0000  6 Nb 2.16
Cl: 0.5000 0.5000 0.5000  12 Nb 3.05

- calculated density (Mg/m³) = 6.80
- D(E_F) (states/eV per atom) = 0.52
- formation energy from raw total energies (eV per atom) = 0.08
- M_tot (Bohr magnetons per cell) = 0.0

***

# 3
## ZrScAgPt (PBE-GGA)

Data for an optimized crystal structure of ZrScAgPt.

a = 4.7740 Å, b = 4.7740 Å, c = 4.7740 Å
α = 60.00°, β = 60.00°, γ = 60.00°
Closest atoms and distances in Å follow each position.
Sites, in units of the cell vectors:
Zr: 0.0000 0.0000 0.0000  4 Ag 2.92, 4 Pt 2.92
Sc: 0.5000 0.5000 0.5000  4 Ag 2.92, 4 Pt 2.92
Ag: 0.7500 0.7500 0.7500  4 Zr 2.92, 4 Sc 2.92
Pt: 0.2500 0.2500 0.2500  4 Zr 2.92, 4 Sc 2.92

- calculated density (Mg/m³) = 9.48
- D(E_F) (states/eV per atom) = 1.00
- energy of formation from the pure elements (eV/atom) = -0.613
- M_tot (Bohr magnetons per cell) = 0.0

***

# 4
## Dy2Y3Bi2 (PBE-GGA)

Data for an optimized crystal structure of Dy2Y3Bi2.

a = 6.5071 Å, b = 6.5071 Å, c = 8.6084 Å
α = 107.06°, β = 107.06°, γ = 38.76°
Closest atoms and distances in Å follow each position.
Sites, in units of the cell vectors:
Dy: 0.1252 0.1252 0.2730  3 Bi 3.20-3.44, 4 Y 3.55-3.57
Dy: 0.8748 0.8748 0.7270  3 Bi 3.20-3.44, 4 Y 3.55-3.57
Y: 0.3750 0.3750 0.0545  3 Bi 3.28-3.32, 4 Y 3.48-3.66, 2 Dy 3.55
Y: 0.5000 0.5000 0.5000  4 Bi 3.13
Y: 0.6250 0.6250 0.9455  3 Bi 3.28-3.32, 4 Y 3.48-3.66, 2 Dy 3.55
Bi: 0.1764 0.1764 0.6896  5 Y 3.13-3.32, 3 Dy 3.20-3.44
Bi: 0.8236 0.8236 0.3104  5 Y 3.13-3.32, 3 Dy 3.20-3.44

- calculated density (Mg/m³) = 7.73
- D(E_F) (states/eV per atom) = 0.94
- energy of formation from the pure elements (eV/atom) = -0.477
- M_tot (Bohr magnetons per cell) = 0.0

***

# 5
## TbHo2Tl (PBE-GGA)

Data for an optimized crystal structure of TbHo2Tl.

a = 4.8474 Å, b = 4.8474 Å, c = 4.8332 Å
α = 90.00°, β = 90.00°, γ = 90.00°
Closest atoms and distances in Å follow each position.
Sites, in units of the cell vectors:
Tb: 0.0000 0.0000 0.0000  8 Ho 3.42, 4 Tl 3.43
Ho: 0.0000 0.5000 0.5000  4 Tb 3.42, 4 Tl 3.42, 4 Ho 3.43
Ho: 0.5000 0.0000 0.5000  4 Tb 3.42, 4 Tl 3.42, 4 Ho 3.43
Tl: 0.5000 0.5000 0.0000  8 Ho 3.42, 4 Tb 3.43

- calculated density (Mg/m³) = 10.14
- D(E_F) (states/eV per atom) = 1.30
- energy of formation from the pure elements (eV/atom) = -0.177
- M_tot (Bohr magnetons per cell) = 0.8

***

# 6
## PuNpOs2 (PBE-GGA)

Data for an optimized crystal structure of PuNpOs2.

a = 4.7825 Å, b = 4.7825 Å, c = 4.7825 Å
α = 60.00°, β = 60.00°, γ = 60.00°
Closest atoms and distances in Å follow each position.
Sites, in units of the cell vectors:
Pu: 0.0000 0.0000 0.0000  8 Os 2.93
Np: 0.5000 0.5000 0.5000  8 Os 2.93
Os: 0.2500 0.2500 0.2500  4 Np 2.93, 4 Pu 2.93
Os: 0.7500 0.7500 0.7500  4 Np 2.93, 4 Pu 2.93

- calculated density (Mg/m³) = 18.49
- D(E_F) (states/eV per atom) = 2.03
- energy of formation from the pure elements (eV/atom) = 0.124
- M_tot (Bohr magnetons per cell) = 7.2

***

# 7
## K2ZrBr4Cl2 (PBE-GGA)

Data for an optimized crystal structure of K2ZrBr4Cl2.

a = 7.5406 Å, b = 7.5406 Å, c = 7.6474 Å
α = 120.23°, β = 120.23°, γ = 60.83°
Closest atoms and distances in Å follow each position.
Sites, in units of the cell vectors:
K: 0.2470 0.2470 0.2488  1 Cl 3.20, 4 Br 3.48-3.50
K: 0.7530 0.7530 0.7512  1 Cl 3.20, 4 Br 3.48-3.50
Zr: 0.0000 0.0000 0.5000  2 Cl 2.48, 4 Br 2.66
Br: 0.2030 0.7123 0.2182  1 Zr 2.66
Br: 0.2877 0.7970 0.7818  1 Zr 2.66
Br: 0.7123 0.2030 0.2182  1 Zr 2.66
Br: 0.7970 0.2877 0.7818  1 Zr 2.66
Cl: 0.2282 0.2282 0.6475  1 Zr 2.48
Cl: 0.7718 0.7718 0.3525  1 Zr 2.48

- calculated density (Mg/m³) = 3.02
- D(E_F) (states/eV per atom) = 0.00
- formation energy from raw total energies (eV per atom) = -1.70
- M_tot (Bohr magnetons per cell) = 0.0

***

# 8
## Ac2La9Dy (PBE-GGA)

Data for an optimized crystal structure of Ac2La9Dy.

a = 5.3114 Å, b = 5.3114 Å, c = 15.9063 Å
α = 90.00°, β = 90.00°, γ = 90.00°
Closest atoms and distances in Å follow each position.
Sites, in units of the cell vectors:
Ac: 0.0000 0.0000 0.1690  12 La 3.76-3.79
Ac: 0.0000 0.0000 0.8310  12 La 3.76-3.79
La: 0.0000 0.5000 0.0000  8 La 3.76-3.79, 4 Ac 3.78
La: 0.0000 0.5000 0.3389  8 La 3.69-3.78, 2 Dy 3.69, 2 Ac 3.79
La: 0.0000 0.5000 0.6611  8 La 3.69-3.78, 2 Dy 3.69, 2 Ac 3.79
La: 0.5000 0.0000 0.0000  8 La 3.76-3.79, 4 Ac 3.78
La: 0.5000 0.0000 0.3389  8 La 3.69-3.78, 2 Dy 3.69, 2 Ac 3.79
La: 0.5000 0.0000 0.6611  8 La 3.69-3.78, 2 Dy 3.69, 2 Ac 3.79
La: 0.5000 0.5000 0.1701  4 Ac 3.76, 8 La 3.78-3.79
La: 0.5000 0.5000 0.5000  8 La 3.69, 4 Dy 3.76
La: 0.5000 0.5000 0.8299  4 Ac 3.76, 8 La 3.78-3.79
Dy: 0.0000 0.0000 0.5000  12 La 3.69-3.76

- calculated density (Mg/m³) = 6.91
- D(E_F) (states/eV per atom) = 1.89
- energy of formation from the pure elements (eV/atom) = 0.014
- M_tot (Bohr magnetons per cell) = 0.0

***

# 9
## Tm3InSe (PBE-GGA)

Data for an optimized crystal structure of Tm3InSe.

a = 9.1639 Å, b = 3.8919 Å, c = 14.8586 Å
α = 90.00°, β = 90.00°, γ = 90.00°
Closest atoms and distances in Å follow each position.
Sites, in units of the cell vectors:
Tm: 0.0417 0.2500 0.1173  3 Se 2.80-2.82
Tm: 0.1608 0.2500 0.5188  2 Se 2.79
Tm: 0.2220 0.7500 0.2729  1 Se 2.76
Tm: 0.2780 0.2500 0.7729  1 Se 2.76
Tm: 0.3392 0.7500 0.0188  2 Se 2.79
Tm: 0.4583 0.7500 0.6173  3 Se 2.80-2.82
Tm: 0.5417 0.2500 0.3827  3 Se 2.80-2.82
Tm: 0.6608 0.2500 0.9812  2 Se 2.79
Tm: 0.7220 0.7500 0.2271  1 Se 2.76
Tm: 0.7780 0.2500 0.7271  1 Se 2.76
Tm: 0.8392 0.7500 0.4812  2 Se 2.79
Tm: 0.9583 0.7500 0.8827  3 Se 2.80-2.82
In: 0.0428 0.7500 0.6716  8 Tm 3.18-3.39
In: 0.4572 0.2500 0.1716  8 Tm 3.18-3.39
In: 0.5428 0.7500 0.8284  8 Tm 3.18-3.39
In: 0.9572 0.2500 0.3284  8 Tm 3.18-3.39
Se: 0.1585 0.2500 0.9433  6 Tm 2.76-2.82
Se: 0.3415 0.7500 0.4433  6 Tm 2.76-2.82
Se: 0.6585 0.2500 0.5567  6 Tm 2.76-2.82
Se: 0.8415 0.7500 0.0567  6 Tm 2.76-2.82

- calculated density (Mg/m³) = 8.78
- D(E_F) (states/eV per atom) = 0.92
- formation energy from raw total energies (eV per atom) = -0.86
- M_tot (Bohr magnetons per cell) = 0.0

***

# 10
## La4Te2IrPd (PBE-GGA)

Data for an optimized crystal structure of La4Te2IrPd.

a = 7.4666 Å, b = 4.3154 Å, c = 8.0759 Å
α = 90.00°, β = 107.74°, γ = 90.00°
Closest atoms and distances in Å follow each position.
Sites, in units of the cell vectors:
La: 0.2288 0.0000 0.2126  2 Ir 2.96, 1 Pd 3.03, 1 Te 3.27
La: 0.2501 0.5000 0.7848  1 Ir 2.91, 2 Pd 3.03
La: 0.7499 0.5000 0.2152  1 Ir 2.91, 2 Pd 3.03
La: 0.7712 0.0000 0.7874  2 Ir 2.96, 1 Pd 3.03, 1 Te 3.27
Te: 0.0000 0.0000 0.5000  6 La 3.27-3.29
Te: 0.5000 0.5000 0.5000  6 La 3.36-3.37
Ir: 0.0000 0.5000 0.0000  6 La 2.91-2.96
Pd: 0.5000 0.0000 0.0000  6 La 3.03

- calculated density (Mg/m³) = 7.43
- D(E_F) (states/eV per atom) = 0.84
- formation energy from raw total energies (eV per atom) = -1.16
- M_tot (Bohr magnetons per cell) = 0.0

***

# 11
## LiCuN3 (PBE-GGA)

Data for an optimized crystal structure of LiCuN3.

a = 3.7523 Å, b = 3.7523 Å, c = 3.7523 Å
α = 90.00°, β = 90.00°, γ = 90.00°
Closest atoms and distances in Å follow each position.
Sites, in units of the cell vectors:
Li: 0.0000 0.0000 0.0000  12 N 2.65
Cu: 0.5000 0.5000 0.5000  6 N 1.88
N: 0.0000 0.5000 0.5000  2 Cu 1.88
N: 0.5000 0.0000 0.5000  2 Cu 1.88
N: 0.5000 0.5000 0.0000  2 Cu 1.88

- calculated density (Mg/m³) = 3.54
- D(E_F) (states/eV per atom) = 1.15
- formation energy from raw total energies (eV per atom) = 1.81
- M_tot (Bohr magnetons per cell) = 0.0

***

# 12
## BeInW2 (PBE-GGA)

Data for an optimized crystal structure of BeInW2.

a = 4.6926 Å, b = 4.6926 Å, c = 4.6926 Å
α = 127.28°, β = 127.28°, γ = 77.80°
Closest atoms and distances in Å follow each position.
Sites, in units of the cell vectors:
Be: 0.0000 0.0000 0.0000  8 W 2.77-2.95, 4 In 2.77
In: 0.2500 0.7500 0.5000  8 W 2.77-2.95, 4 Be 2.77
W: 0.5000 0.5000 0.0000  4 W 2.77, 4 In 2.77, 4 Be 2.95
W: 0.7500 0.2500 0.5000  4 W 2.77, 4 Be 2.77, 4 In 2.95

- calculated density (Mg/m³) = 12.87
- D(E_F) (states/eV per atom) = 0.54
- energy of formation from the pure elements (eV/atom) = 0.563
- M_tot (Bohr magnetons per cell) = 0.0